Arrangement a

# Si5Ir3

Si5Ir3 after structural relaxation (PBE, the Alexandria database).

```
data_Si5Ir3
_symmetry_space_group_name_H-M 'P 1'
_symmetry_Int_Tables_number 1
_cell_length_a 6.4633
_cell_length_b 14.2926
_cell_length_c 11.6556
_cell_angle_alpha 90.00
_cell_angle_beta 116.58
_cell_angle_gamma 90.00
loop_
_symmetry_equiv_pos_as_xyz
'x,y,z'
loop_
_atom_site_label
_atom_site_fract_x
_atom_site_fract_y
_atom_site_fract_z
Si1 0.0470 0.1502 0.0907
Si2 0.0470 0.3498 0.5907
Si3 0.0733 0.1585 0.4327
Si4 0.0733 0.3415 0.9327
Si5 0.1360 0.1094 0.6726
Si6 0.1360 0.3906 0.1726
Si7 0.1397 0.1129 0.8912
Si8 0.1397 0.3871 0.3912
Si9 0.2559 0.5099 0.9234
Si10 0.2559 0.9901 0.4234
Si11 0.2572 0.5119 0.7051
Si12 0.2572 0.9881 0.2051
Si13 0.3280 0.5570 0.1645
Si14 0.3280 0.9430 0.6645
Si15 0.3529 0.5634 0.5096
Si16 0.3529 0.9366 0.0096
Si17 0.3834 0.7490 0.8563
Si18 0.3834 0.7510 0.3563
Si19 0.4464 0.2198 0.3076
Si20 0.4464 0.2802 0.8076
Si21 0.5536 0.7198 0.1924
Si22 0.5536 0.7802 0.6924
Si23 0.6166 0.2490 0.6437
Si24 0.6166 0.2510 0.1437
Si25 0.6471 0.0634 0.9904
Si26 0.6471 0.4366 0.4904
Si27 0.6720 0.0570 0.3355
Si28 0.6720 0.4430 0.8355
Si29 0.7428 0.0119 0.7949
Si30 0.7428 0.4881 0.2949
Si31 0.7441 0.0099 0.5766
Si32 0.7441 0.4901 0.0766
Si33 0.8603 0.6129 0.6088
Si34 0.8603 0.8871 0.1088
Si35 0.8640 0.6094 0.8274
Si36 0.8640 0.8906 0.3274
Si37 0.9267 0.6585 0.0673
Si38 0.9267 0.8415 0.5673
Si39 0.9530 0.6502 0.4093
Si40 0.9530 0.8498 0.9093
Ir1 0.0485 0.2476 0.2560
Ir2 0.0485 0.2524 0.7560
Ir3 0.0820 0.5435 0.2729
Ir4 0.0820 0.9565 0.7729
Ir5 0.2331 0.6646 0.9933
Ir6 0.2331 0.8354 0.4933
Ir7 0.2368 0.6666 0.6335
Ir8 0.2368 0.8334 0.1335
Ir9 0.4273 0.0982 0.1112
Ir10 0.4273 0.4018 0.6112
Ir11 0.4330 0.0936 0.6034
Ir12 0.4330 0.4064 0.1034
Ir13 0.5670 0.5936 0.8966
Ir14 0.5670 0.9064 0.3966
Ir15 0.5727 0.5982 0.3888
Ir16 0.5727 0.9018 0.8888
Ir17 0.7632 0.1666 0.8665
Ir18 0.7632 0.3334 0.3665
Ir19 0.7669 0.1646 0.5067
Ir20 0.7669 0.3354 0.0067
Ir21 0.9180 0.0435 0.2271
Ir22 0.9180 0.4565 0.7271
Ir23 0.9515 0.7476 0.2440
Ir24 0.9515 0.7524 0.7440
```

Calculated values
magnetization: 0.00 μB/f.u.
calculated volume: 15.0 Å³ per atom
space group: P2_1/c

Arrangement b

# Si5Ir3

Si5Ir3 after structural relaxation (PBE, the Alexandria database).

```
data_Si5Ir3
_symmetry_space_group_name_H-M 'P 1'
_symmetry_Int_Tables_number 1
_cell_length_a 7.5334
_cell_length_b 7.5334
_cell_length_c 4.7174
_cell_angle_alpha 90.00
_cell_angle_beta 90.00
_cell_angle_gamma 120.00
loop_
_symmetry_equiv_pos_as_xyz
'x,y,z'
loop_
_atom_site_label
_atom_site_fract_x
_atom_site_fract_y
_atom_site_fract_z
Si1 0.0000 0.2621 0.2500
Si2 0.0000 0.7379 0.7500
Si3 0.2621 0.0000 0.2500
Si4 0.2621 0.2621 0.7500
Si5 0.3333 0.6667 0.0000
Si6 0.3333 0.6667 0.5000
Si7 0.6667 0.3333 0.0000
Si8 0.6667 0.3333 0.5000
Si9 0.7379 0.0000 0.7500
Si10 0.7379 0.7379 0.2500
Ir1 0.0000 0.3692 0.7500
Ir2 0.0000 0.6308 0.2500
Ir3 0.3692 0.0000 0.7500
Ir4 0.3692 0.3692 0.2500
Ir5 0.6308 0.0000 0.2500
Ir6 0.6308 0.6308 0.7500
```

Calculated values
magnetization: 0.00 μB/f.u.
calculated volume: 14.5 Å³ per atom
space group: P6_3/mcm

Arrangement c

# Si5Ir3

Si5Ir3 after structural relaxation (PBE, the Alexandria database).

```
data_Si5Ir3
_symmetry_space_group_name_H-M 'P 1'
_symmetry_Int_Tables_number 1
_cell_length_a 6.8638
_cell_length_b 7.9564
_cell_length_c 4.0287
_cell_angle_alpha 90.00
_cell_angle_beta 90.00
_cell_angle_gamma 90.00
loop_
_symmetry_equiv_pos_as_xyz
'x,y,z'
loop_
_atom_site_label
_atom_site_fract_x
_atom_site_fract_y
_atom_site_fract_z
Si1 0.0000 0.0000 0.0000
Si2 0.2364 0.5000 0.5000
Si3 0.2500 0.2500 0.0000
Si4 0.2500 0.7500 0.0000
Si5 0.2636 0.0000 0.5000
Si6 0.5000 0.5000 0.0000
Si7 0.7364 0.0000 0.5000
Si8 0.7500 0.2500 0.0000
Si9 0.7500 0.7500 0.0000
Si10 0.7636 0.5000 0.5000
Ir1 0.0000 0.2447 0.5000
Ir2 0.0000 0.5000 0.0000
Ir3 0.0000 0.7553 0.5000
Ir4 0.5000 0.0000 0.0000
Ir5 0.5000 0.2553 0.5000
Ir6 0.5000 0.7447 0.5000
```

Calculated values
magnetization: 0.00 μB/f.u.
calculated volume: 13.8 Å³ per atom
space group: Cmmm

arrangement a (467 meV per atom below the next structure)

Arrangement a

# Sm2Si3Ir2

Sm2Si3Ir2 after structural relaxation (PBE, the Alexandria database).

```
data_Sm2Si3Ir2
_symmetry_space_group_name_H-M 'P 1'
_symmetry_Int_Tables_number 1
_cell_length_a 10.7105
_cell_length_b 4.0473
_cell_length_c 6.9288
_cell_angle_alpha 90.00
_cell_angle_beta 118.95
_cell_angle_gamma 90.00
loop_
_symmetry_equiv_pos_as_xyz
'x,y,z'
loop_
_atom_site_label
_atom_site_fract_x
_atom_site_fract_y
_atom_site_fract_z
Sm1 0.1418 0.0000 0.2677
Sm2 0.3582 0.5000 0.7323
Sm3 0.6418 0.5000 0.2677
Sm4 0.8582 0.0000 0.7323
Si1 0.0000 0.5000 0.5000
Si2 0.1400 0.5000 0.9331
Si3 0.3600 0.0000 0.0669
Si4 0.5000 0.0000 0.5000
Si5 0.6400 0.0000 0.9331
Si6 0.8600 0.5000 0.0669
Ir1 0.1355 0.0000 0.7211
Ir2 0.3645 0.5000 0.2789
Ir3 0.6355 0.5000 0.7211
Ir4 0.8645 0.0000 0.2789
```

Calculated values
magnetization: 0.00 μB/f.u.
calculated volume: 18.8 Å³ per atom
space group: C2/m

Arrangement b

# Sm2Si3Ir2

Sm2Si3Ir2 after structural relaxation (PBE, the Alexandria database).

```
data_Sm2Si3Ir2
_symmetry_space_group_name_H-M 'P 1'
_symmetry_Int_Tables_number 1
_cell_length_a 9.0550
_cell_length_b 9.0550
_cell_length_c 6.9880
_cell_angle_alpha 90.00
_cell_angle_beta 90.00
_cell_angle_gamma 153.29
loop_
_symmetry_equiv_pos_as_xyz
'x,y,z'
loop_
_atom_site_label
_atom_site_fract_x
_atom_site_fract_y
_atom_site_fract_z
Sm1 0.0571 0.9429 0.7500
Sm2 0.1542 0.8458 0.2500
Sm3 0.8458 0.1542 0.7500
Sm4 0.9429 0.0571 0.2500
Si1 0.2264 0.7736 0.7500
Si2 0.4383 0.5617 0.5699
Si3 0.4383 0.5617 0.9301
Si4 0.5617 0.4383 0.0699
Si5 0.5617 0.4383 0.4301
Si6 0.7736 0.2264 0.2500
Ir1 0.3083 0.6917 0.0502
Ir2 0.3083 0.6917 0.4498
Ir3 0.6917 0.3083 0.5502
Ir4 0.6917 0.3083 0.9498
```

Calculated values
magnetization: 0.00 μB/f.u.
calculated volume: 18.4 Å³ per atom
space group: Cmcm

arrangement b (73 meV per atom below the next structure)

Arrangement a

# SrSiIr3

SrSiIr3 after structural relaxation (PBE, the Alexandria database).

```
data_SrSiIr3
_symmetry_space_group_name_H-M 'P 1'
_symmetry_Int_Tables_number 1
_cell_length_a 4.9514
_cell_length_b 4.9514
_cell_length_c 4.9514
_cell_angle_alpha 90.00
_cell_angle_beta 90.00
_cell_angle_gamma 90.00
loop_
_symmetry_equiv_pos_as_xyz
'x,y,z'
loop_
_atom_site_label
_atom_site_fract_x
_atom_site_fract_y
_atom_site_fract_z
Sr1 0.0000 0.0000 0.0000
Si1 0.5000 0.5000 0.5000
Ir1 0.0000 0.0000 0.5000
Ir2 0.0000 0.5000 0.0000
Ir3 0.5000 0.0000 0.0000
```

Calculated values
magnetization: 1.00 μB/f.u.
calculated volume: 24.3 Å³ per atom
space group: Pm-3m

Arrangement b

# SrSiIr3

SrSiIr3 after structural relaxation (PBE, the Alexandria database).

```
data_SrSiIr3
_symmetry_space_group_name_H-M 'P 1'
_symmetry_Int_Tables_number 1
_cell_length_a 4.5671
_cell_length_b 4.5671
_cell_length_c 4.5671
_cell_angle_alpha 90.00
_cell_angle_beta 90.00
_cell_angle_gamma 90.00
loop_
_symmetry_equiv_pos_as_xyz
'x,y,z'
loop_
_atom_site_label
_atom_site_fract_x
_atom_site_fract_y
_atom_site_fract_z
Sr1 0.0000 0.0000 0.0000
Si1 0.5000 0.5000 0.5000
Ir1 0.0000 0.5000 0.5000
Ir2 0.5000 0.0000 0.5000
Ir3 0.5000 0.5000 0.0000
```

Calculated values
magnetization: 0.00 μB/f.u.
calculated volume: 19.1 Å³ per atom
space group: Pm-3m

arrangement b (2795 meV per atom below the next structure)